one:
An optimized crystal structure of BaPmHo2. Source: Alexandria, functional PBE.

Properties
For the density, the calculation gives 6.9 g/cm³. The total magnetization comes out at 0.001 μB per atom.

Structure (POSCAR):
```
BaPmHo2
1.0
1.811 1.046 12.893
-1.811 1.046 12.893
0.000 -2.092 12.893
Ba Pm Ho
1 1 2
Cartesian
0.000 0.000 0.000
0.000 0.000 19.340
0.000 0.000 3.606
0.000 0.000 35.075
```

two:
An optimized crystal structure of BaPmHo2. Source: Alexandria, functional PBE.

Properties
For the density, the calculation gives 6.8 g/cm³. The total magnetization comes out at 0.000 μB per atom.

Structure (POSCAR):
```
BaPmHo2
1.0
3.714 0.000 0.000
0.000 3.714 0.000
0.000 0.000 10.795
Ba Pm Ho
1 1 2
Cartesian
0.000 0.000 0.000
0.000 0.000 5.397
1.857 1.857 3.035
1.857 1.857 7.760
```

two wins, 0.074 eV/atom ahead of the next structure.

one:
An optimized crystal structure of BaPrHo2. Source: Alexandria, functional PBE.

Properties
For the density, the calculation gives 6.8 g/cm³. The total magnetization comes out at 0.004 μB per atom.

Structure (POSCAR):
```
BaPrHo2
1.0
1.822 1.052 12.943
-1.822 1.052 12.943
0.000 -2.103 12.943
Ba Pr Ho
1 1 2
Cartesian
0.000 0.000 0.000
0.000 0.000 19.415
0.000 0.000 3.607
0.000 0.000 35.222
```

two:
An optimized crystal structure of BaPrHo2. Source: Alexandria, functional PBE.

Properties
For the density, the calculation gives 6.7 g/cm³. The total magnetization comes out at 0.000 μB per atom.

Structure (POSCAR):
```
BaPrHo2
1.0
3.738 0.000 0.000
0.000 3.738 0.000
0.000 0.000 10.809
Ba Pr Ho
1 1 2
Cartesian
0.000 0.000 0.000
0.000 0.000 5.404
1.869 1.869 3.018
1.869 1.869 7.790
```

two wins, 0.076 eV/atom ahead of the next structure.

one:
An optimized crystal structure of BaPrHo. Source: Alexandria, functional PBE.

Properties
For the density, the calculation gives 6.0 g/cm³. The total magnetization comes out at 0.000 μB per atom.

Structure (POSCAR):
```
BaPrHo
1.0
6.111 -1.850 0.000
6.111 1.850 0.000
-0.537 0.000 10.845
Ba Pr Ho
2 2 2
Cartesian
1.572 0.000 1.106
10.112 0.000 9.739
4.821 0.000 3.131
6.863 0.000 7.714
1.372 0.000 4.798
10.312 0.000 6.047
```

two:
An optimized crystal structure of BaPrHo. Source: Alexandria, functional PBE.

Properties
For the density, the calculation gives 6.2 g/cm³. The total magnetization comes out at 0.000 μB per atom.

Structure (POSCAR):
```
BaPrHo
1.0
3.814 0.000 0.000
-1.907 3.303 0.000
0.000 0.000 9.492
Ba Pr Ho
1 1 1
Cartesian
0.000 0.000 0.000
0.000 2.202 6.051
1.907 1.101 3.288
```

two wins, 0.030 eV/atom ahead of the next structure.

one:
An optimized crystal structure of BaHo2S4. Source: Alexandria, functional PBE.

Properties
For the density, the calculation gives 5.5 g/cm³. The total magnetization comes out at 0.000 μB per atom.

Structure (POSCAR):
```
BaHo2S4
1.0
12.304 0.000 0.000
0.000 4.041 0.000
0.000 0.000 14.530
Ba Ho S
4 8 16
Cartesian
2.977 1.010 2.354
3.175 3.030 9.619
9.129 1.010 4.911
9.327 3.030 12.176
0.819 1.010 5.687
0.968 1.010 13.055
5.184 3.030 5.790
5.333 3.030 12.952
6.971 1.010 1.578
7.120 1.010 8.740
11.336 3.030 1.475
11.485 3.030 8.843
0.283 3.030 11.379
0.995 1.010 8.379
1.516 3.030 0.338
2.546 3.030 4.913
3.606 1.010 12.178
4.636 1.010 7.604
5.157 3.030 1.114
5.869 1.010 4.114
6.435 3.030 10.416
7.147 1.010 13.416
7.668 3.030 6.927
8.698 3.030 2.352
9.758 1.010 9.618
10.788 1.010 14.192
11.309 3.030 6.151
12.021 1.010 3.151
```

two:
An optimized crystal structure of BaHo2S4. Source: Alexandria, functional PBE.

Properties
For the density, the calculation gives 5.5 g/cm³. The total magnetization comes out at 0.000 μB per atom.

Structure (POSCAR):
```
BaHo2S4
1.0
2.018 -6.585 0.000
2.018 6.585 0.000
0.000 0.000 13.651
Ba Ho S
2 4 8
Cartesian
2.018 5.132 10.238
2.018 -5.132 3.413
2.018 1.774 7.741
2.018 1.774 12.735
2.018 -1.774 0.916
2.018 -1.774 5.910
0.000 0.000 0.000
0.000 0.000 6.825
2.018 3.081 1.492
2.018 3.081 5.333
2.018 0.873 10.238
2.018 -0.873 3.413
2.018 -3.081 8.318
2.018 -3.081 12.159
```

one wins, 0.027 eV/atom ahead of the next structure.

one:
An optimized crystal structure of Ba2SrHo. Source: Alexandria, functional PBE.

Properties
For the density, the calculation gives 4.5 g/cm³. The total magnetization comes out at 0.001 μB per atom.

Structure (POSCAR):
```
Ba2SrHo
1.0
1.973 1.139 14.466
-1.973 1.139 14.466
0.000 -2.278 14.466
Ba Sr Ho
2 1 1
Cartesian
0.000 0.000 3.569
0.000 0.000 39.828
0.000 0.000 21.698
0.000 0.000 0.000
```

two:
An optimized crystal structure of Ba2SrHo. Source: Alexandria, functional PBE.

Properties
For the density, the calculation gives 4.3 g/cm³. The total magnetization comes out at 0.000 μB per atom.

Structure (POSCAR):
```
Ba2SrHo
1.0
4.431 0.000 0.000
0.000 4.431 0.000
0.000 0.000 10.314
Ba Sr Ho
2 1 1
Cartesian
0.000 0.000 2.231
0.000 0.000 8.083
2.215 2.215 5.157
2.215 2.215 0.000
```

two wins, 0.187 eV/atom ahead of the next structure.

one:
An optimized crystal structure of BaHoTe2. Source: Alexandria, functional PBE.

Properties
For the density, the calculation gives 6.5 g/cm³. The total magnetization comes out at 0.001 μB per atom.

Structure (POSCAR):
```
BaHoTe2
1.0
2.241 1.294 8.146
-2.241 1.294 8.146
0.000 -2.588 8.146
Ba Ho Te
1 1 2
Cartesian
0.000 0.000 0.000
0.000 0.000 20.229
0.000 0.000 5.719
0.000 0.000 10.411
```

two:
An optimized crystal structure of BaHoTe2. Source: Alexandria, functional PBE.

Properties
For the density, the calculation gives 6.6 g/cm³. The total magnetization comes out at 0.000 μB per atom.

Structure (POSCAR):
```
BaHoTe2
1.0
2.280 1.316 7.822
-2.280 1.316 7.822
0.000 -2.633 7.822
Ba Ho Te
1 1 2
Cartesian
0.000 0.000 0.000
0.000 0.000 11.734
0.000 0.000 5.582
0.000 0.000 17.885
```

two wins, 0.036 eV/atom ahead of the next structure.